Record 1
ThS2, optimized geometry, DFT PBE; magnetization = 0.0 Bohr magnetons per cell; calculated density = 5.5 g/cm3
1.0
6.4371 0.0000 0.0000
0.0000 6.4371 0.0000
0.0000 0.0000 4.3066
Th S
2 4
Direct
0.0000 0.0000 0.0000 Th
0.5000 0.5000 0.5000 Th
0.1925 0.1925 0.5000 S
0.3075 0.6925 0.0000 S
0.6925 0.3075 0.0000 S
0.8075 0.8075 0.5000 S



Record 2
ThS2, optimized geometry, DFT PBE; magnetization = 0.0 Bohr magnetons per cell; calculated density = 7.9 g/cm3
1.0
-1.8729 1.8729 4.4430
1.8729 -1.8729 4.4430
1.8729 1.8729 -4.4430
Th S
1 2
Direct
0.0000 0.0000 0.0000 Th
0.3441 0.3441 0.0000 S
0.6559 0.6559 0.0000 S



| no. | E_tot (eV per atom) |
| --- | --- |
| 1 | -7.097 |
| 2 | -6.946 |